# RbMnAs2O8 | the Alexandria database | GGA+U | optimized geometry
data_RbMnAs2O8
_chemical_formula_sum 'Rb3 Mn3 As6 O24'
_cell_length_a 5.1298
_cell_length_b 5.1298
_cell_length_c 26.8391
_cell_angle_alpha 90.00
_cell_angle_beta 90.00
_cell_angle_gamma 120.00
_space_group_name_H-M_alt 'R 3 2'
_space_group_IT_number 155
_space_group_name_Hall 'R 3 2"'
loop_
_atom_site_label
_atom_site_fract_x
_atom_site_fract_y
_atom_site_fract_z
_atom_site_occupancy
Rb1 0.0000 0.0000 0.0000 1
Mn1 0.0000 0.0000 0.5000 1
As1 0.0000 0.0000 0.2331 1
O1 0.0000 0.0000 0.2958 1
O2 0.0159 0.4030 0.1208 1
# Total energy, eV per formula unit: -70.7